Entry from the Open Quantum Materials Database: a relaxed HfH24C8N2Cl6 crystal (PBE).

Unit cell a=9.109 b=9.109 c=9.109 alpha=60.00 beta=60.00 gamma=60.00
Fractional positions:
Hf 0.000 0.000 0.000
H 0.001 0.267 0.267
H 0.001 0.267 0.465
H 0.001 0.465 0.267
H 0.267 0.001 0.267
H 0.267 0.001 0.465
H 0.267 0.267 0.001
H 0.267 0.267 0.465
H 0.267 0.465 0.001
H 0.267 0.465 0.267
H 0.465 0.001 0.267
H 0.465 0.267 0.001
H 0.465 0.267 0.267
H 0.535 0.733 0.733
H 0.535 0.733 0.999
H 0.535 0.999 0.733
H 0.733 0.535 0.733
H 0.733 0.535 0.999
H 0.733 0.733 0.535
H 0.733 0.733 0.999
H 0.733 0.999 0.535
H 0.733 0.999 0.733
H 0.999 0.535 0.733
H 0.999 0.733 0.535
H 0.999 0.733 0.733
C 0.049 0.317 0.317
C 0.317 0.049 0.317
C 0.317 0.317 0.049
C 0.317 0.317 0.317
C 0.683 0.683 0.683
C 0.683 0.683 0.951
C 0.683 0.951 0.683
C 0.951 0.683 0.683
N 0.250 0.250 0.250
N 0.750 0.750 0.750
Cl 0.191 0.191 0.809
Cl 0.191 0.809 0.191
Cl 0.191 0.809 0.809
Cl 0.809 0.191 0.191
Cl 0.809 0.191 0.809
Cl 0.809 0.809 0.191

Computed properties:
For the total DFT energy (no corrections), the calculation gives -5.161 eV/atom. The calculation puts the theoretical density at 1.68 Mg/m³.

---

Entry from the Open Quantum Materials Database: a relaxed HgH6CNCl3 crystal (PBE).

Unit cell a=7.856 b=7.856 c=9.831 alpha=90.00 beta=90.00 gamma=120.00
Fractional positions:
Hg 0.000 0.653 0.000
Hg 0.347 0.347 0.667
Hg 0.653 0.000 0.333
H 0.047 0.793 0.363
H 0.157 0.790 0.593
H 0.185 0.623 0.484
H 0.207 0.254 0.029
H 0.210 0.366 0.260
H 0.295 0.146 0.137
H 0.377 0.563 0.151
H 0.437 0.815 0.818
H 0.445 0.331 0.034
H 0.467 0.451 0.268
H 0.549 0.017 0.934
H 0.634 0.843 0.926
H 0.669 0.115 0.701
H 0.746 0.953 0.696
H 0.851 0.705 0.470
H 0.854 0.149 0.804
H 0.885 0.555 0.367
H 0.983 0.533 0.601
C 0.079 0.654 0.534
C 0.346 0.425 0.201
C 0.575 0.921 0.867
N 0.321 0.279 0.095
N 0.721 0.042 0.762
N 0.958 0.679 0.428
Cl 0.085 0.173 0.509
Cl 0.089 0.915 0.843
Cl 0.124 0.420 0.864
Cl 0.295 0.876 0.197
Cl 0.580 0.705 0.531
Cl 0.596 0.200 0.491
Cl 0.604 0.404 0.825
Cl 0.800 0.396 0.158
Cl 0.827 0.911 0.176

Computed properties:
For the total DFT energy (no corrections), the calculation gives -4.116 eV/atom. The calculation puts the theoretical density at 3.21 Mg/m³.

---

Entry from the Open Quantum Materials Database: a relaxed HgH24C14Se2N4Cl2O2 crystal (PBE).

Unit cell a=9.245 b=9.245 c=14.857 alpha=111.44 beta=111.44 gamma=65.86
Fractional positions:
Hg 0.244 0.756 0.750
Hg 0.756 0.244 0.250
H 0.013 0.309 0.483
H 0.016 0.735 0.084
H 0.017 0.102 0.652
H 0.041 0.542 0.406
H 0.046 0.363 0.803
H 0.047 0.552 0.796
H 0.102 0.017 0.152
H 0.116 0.264 0.602
H 0.161 0.440 0.990
H 0.244 0.380 0.270
H 0.253 0.557 0.250
H 0.264 0.116 0.102
H 0.265 0.984 0.416
H 0.292 0.416 0.919
H 0.309 0.013 0.983
H 0.354 0.362 0.689
H 0.362 0.354 0.189
H 0.363 0.046 0.303
H 0.380 0.244 0.770
H 0.416 0.292 0.419
H 0.440 0.161 0.490
H 0.443 0.747 0.250
H 0.448 0.953 0.704
H 0.458 0.959 0.094
H 0.542 0.041 0.906
H 0.552 0.047 0.296
H 0.557 0.253 0.750
H 0.560 0.839 0.510
H 0.584 0.708 0.581
H 0.620 0.756 0.230
H 0.637 0.954 0.697
H 0.638 0.646 0.811
H 0.646 0.638 0.311
H 0.691 0.987 0.017
H 0.708 0.584 0.081
H 0.735 0.016 0.584
H 0.736 0.884 0.898
H 0.747 0.443 0.750
H 0.756 0.620 0.730
H 0.839 0.560 0.010
H 0.884 0.736 0.398
H 0.898 0.983 0.848
H 0.953 0.448 0.204
H 0.954 0.637 0.197
H 0.959 0.458 0.594
H 0.983 0.898 0.348
H 0.984 0.265 0.916
H 0.987 0.691 0.517
C 0.002 0.674 0.443
C 0.037 0.492 0.844
C 0.096 0.859 0.404
C 0.100 0.763 0.064
C 0.141 0.904 0.096
C 0.175 0.491 0.938
C 0.237 0.900 0.436
C 0.250 0.429 0.214
C 0.274 0.720 0.517
C 0.280 0.726 0.983
C 0.326 0.998 0.057
C 0.429 0.250 0.714
C 0.491 0.175 0.438
C 0.492 0.037 0.344
C 0.508 0.963 0.656
C 0.509 0.825 0.562
C 0.571 0.750 0.286
C 0.674 0.002 0.943
C 0.720 0.274 0.017
C 0.726 0.280 0.483
C 0.750 0.571 0.786
C 0.763 0.100 0.564
C 0.825 0.509 0.062
C 0.859 0.096 0.904
C 0.900 0.237 0.936
C 0.904 0.141 0.596
C 0.963 0.508 0.156
C 0.998 0.326 0.557
Se 0.373 0.571 0.597
Se 0.429 0.627 0.903
Se 0.571 0.373 0.097
Se 0.627 0.429 0.403
N 0.121 0.749 0.454
N 0.186 0.655 0.994
N 0.251 0.879 0.046
N 0.345 0.814 0.506
N 0.655 0.186 0.494
N 0.749 0.121 0.954
N 0.814 0.345 0.006
N 0.879 0.251 0.546
Cl 0.062 0.224 0.307
Cl 0.224 0.062 0.807
Cl 0.776 0.938 0.193
Cl 0.938 0.776 0.693
O 0.115 0.423 0.129
O 0.423 0.115 0.629
O 0.577 0.885 0.371
O 0.885 0.577 0.871

Computed properties:
For the total DFT energy (no corrections), the calculation gives -5.576 eV/atom. The calculation puts the theoretical density at 2.26 Mg/m³.

---

Entry from the Open Quantum Materials Database: a relaxed HgH10C7S2NCl crystal (PBE).

Unit cell a=6.012 b=11.374 c=15.805 alpha=90.00 beta=90.00 gamma=90.00
Fractional positions:
Hg 0.099 0.234 0.431
Hg 0.401 0.766 0.931
Hg 0.599 0.266 0.569
Hg 0.901 0.734 0.069
H 0.017 0.123 0.179
H 0.035 0.006 0.438
H 0.056 0.197 0.885
H 0.060 0.508 0.890
H 0.095 0.387 0.819
H 0.138 0.678 0.524
H 0.162 0.562 0.197
H 0.202 0.963 0.889
H 0.220 0.179 0.251
H 0.243 0.886 0.533
H 0.257 0.114 0.033
H 0.280 0.821 0.751
H 0.298 0.037 0.389
H 0.338 0.438 0.697
H 0.362 0.322 0.024
H 0.405 0.613 0.319
H 0.440 0.492 0.390
H 0.444 0.803 0.385
H 0.465 0.994 0.938
H 0.483 0.877 0.679
H 0.517 0.377 0.821
H 0.535 0.494 0.562
H 0.556 0.303 0.115
H 0.560 0.992 0.110
H 0.595 0.113 0.181
H 0.638 0.822 0.476
H 0.662 0.938 0.803
H 0.702 0.537 0.111
H 0.720 0.321 0.749
H 0.743 0.614 0.467
H 0.757 0.386 0.967
H 0.780 0.679 0.249
H 0.798 0.463 0.611
H 0.838 0.062 0.303
H 0.862 0.178 0.976
H 0.905 0.887 0.681
H 0.940 0.008 0.610
H 0.944 0.697 0.615
H 0.965 0.506 0.062
H 0.983 0.623 0.321
C 0.015 0.038 0.303
C 0.025 0.933 0.640
C 0.065 0.736 0.572
C 0.120 0.057 0.389
C 0.120 0.849 0.576
C 0.134 0.099 0.229
C 0.240 0.097 0.706
C 0.260 0.903 0.206
C 0.366 0.901 0.729
C 0.380 0.151 0.076
C 0.380 0.943 0.889
C 0.435 0.264 0.072
C 0.475 0.067 0.140
C 0.485 0.962 0.803
C 0.515 0.462 0.697
C 0.525 0.567 0.360
C 0.565 0.764 0.428
C 0.620 0.443 0.611
C 0.620 0.651 0.424
C 0.634 0.401 0.771
C 0.740 0.403 0.294
C 0.760 0.597 0.794
C 0.866 0.599 0.271
C 0.880 0.349 0.924
C 0.880 0.557 0.111
C 0.935 0.236 0.928
C 0.975 0.433 0.860
C 0.985 0.538 0.197
S 0.035 0.881 0.274
S 0.111 0.212 0.662
S 0.389 0.788 0.162
S 0.465 0.119 0.774
S 0.535 0.619 0.726
S 0.611 0.288 0.338
S 0.889 0.712 0.838
S 0.965 0.381 0.226
N 0.201 0.982 0.694
N 0.299 0.018 0.194
N 0.701 0.518 0.306
N 0.799 0.482 0.806
Cl 0.093 0.432 0.482
Cl 0.407 0.568 0.982
Cl 0.593 0.068 0.518
Cl 0.907 0.932 0.018

Computed properties:
For the total DFT energy (no corrections), the calculation gives -5.375 eV/atom. The calculation puts the theoretical density at 2.51 Mg/m³.